# 1
BW5C3 after structural relaxation. Source: OQMD, functional PBE-GGA.

a b c (Å): 5.274 5.274 12.931
angles (deg): 90.00 90.00 145.74
Fractional coordinates of all 18 atoms:
C 0.277 0.723 0.904
C 0.723 0.277 0.096
C 0.000 0.000 0.500
C 0.277 0.723 0.596
C 0.723 0.277 0.404
C 0.000 0.000 0.000
W 0.911 0.089 0.854
W 0.089 0.911 0.354
W 0.633 0.367 0.934
W 0.191 0.809 0.750
W 0.809 0.191 0.250
W 0.367 0.633 0.434
W 0.911 0.089 0.646
W 0.089 0.911 0.146
W 0.633 0.367 0.566
W 0.367 0.633 0.066
B 0.528 0.472 0.750
B 0.472 0.528 0.250

Spin magnetization, μB/f.u.: 0.00
Distance to the lowest polymorph of the same formula, meV per atom: 0
Symmetry: Cmcm, No. 63

=====

# 2
Pr2SmSn7 after structural relaxation. Source: OQMD, functional PBE-GGA.

a b c (Å): 13.222 13.222 4.644
angles (deg): 90.00 90.00 160.13
Fractional coordinates of all 10 atoms:
Pr 0.685 0.315 0.000
Pr 0.315 0.685 0.000
Sn 0.211 0.789 0.500
Sn 0.595 0.405 0.500
Sn 0.905 0.095 0.000
Sn 0.405 0.595 0.500
Sn 0.000 0.000 0.500
Sn 0.789 0.211 0.500
Sn 0.095 0.905 0.000
Sm 0.500 0.500 0.000

Spin magnetization, μB/f.u.: 0.00
Symmetry: Cmmm, No. 65

=====

# 3
NaGdHo after structural relaxation. Source: OQMD, functional PBE-GGA.

a b c (Å): 5.321 5.321 5.321
angles (deg): 60.00 60.00 60.00
Fractional coordinates of all 3 atoms:
Na 0.000 0.000 0.000
Gd 0.250 0.250 0.250
Ho 0.750 0.750 0.750

Spin magnetization, μB/f.u.: 1.41
Distance to the lowest polymorph of the same formula, meV per atom: 0
Symmetry: F-43m, No. 216

=====

# 4
Li2TlHg after structural relaxation. Source: OQMD, functional PBE-GGA.

a b c (Å): 4.758 6.720 14.283
angles (deg): 90.00 90.00 90.00
Fractional coordinates of all 24 atoms:
Tl 0.500 0.500 0.500
Tl 0.500 0.500 0.167
Tl 0.000 0.000 0.000
Tl 0.000 0.000 0.333
Tl 0.000 0.000 0.667
Tl 0.500 0.500 0.833
Li 0.500 0.250 0.333
Li 0.500 0.750 0.667
Li 0.500 0.250 0.000
Li 0.000 0.250 0.500
Li 0.500 0.750 0.000
Li 0.500 0.250 0.667
Li 0.000 0.750 0.500
Li 0.000 0.250 0.167
Li 0.500 0.750 0.333
Li 0.000 0.750 0.833
Li 0.000 0.250 0.833
Li 0.000 0.750 0.167
Hg 0.500 0.000 0.167
Hg 0.000 0.500 0.333
Hg 0.000 0.500 0.000
Hg 0.500 0.000 0.500
Hg 0.500 0.000 0.833
Hg 0.000 0.500 0.667

Symmetry: I4/mmm, No. 139

=====

# 5
TbHo3Pb2N2 after structural relaxation. Source: OQMD, functional PBE-GGA.

a b c (Å): 3.537 3.537 15.571
angles (deg): 90.00 90.00 120.00
Fractional coordinates of all 8 atoms:
Pb 0.667 0.333 0.251
Pb 0.333 0.667 0.750
Ho 0.667 0.333 0.917
Ho 0.333 0.667 0.417
Ho 0.667 0.333 0.583
N 0.000 0.000 0.998
N 0.000 0.000 0.500
Tb 0.333 0.667 0.084

Spin magnetization, μB/f.u.: 0.00
Symmetry: P3m1, No. 156

=====

# 6
DyRe after structural relaxation. Source: OQMD, functional PBE-GGA.

a b c (Å): 3.147 3.147 4.699
angles (deg): 90.00 90.00 120.00
Fractional coordinates of all 2 atoms:
Dy 0.667 0.333 0.750
Re 0.333 0.667 0.250

Spin magnetization, μB/f.u.: 0.00
ΔE_f, eV per atom: 0.76
Symmetry: P-6m2, No. 187

=====

# 7
GdSbIr after structural relaxation. Source: OQMD, functional PBE-GGA.

a b c (Å): 8.273 8.273 3.284
angles (deg): 90.00 90.00 120.00
Fractional coordinates of all 9 atoms:
Sb 0.333 0.667 0.000
Sb 0.667 0.333 0.000
Sb 0.000 0.000 0.500
Gd 0.700 0.700 0.000
Gd 0.000 0.300 0.000
Gd 0.300 0.000 0.000
Ir 0.349 0.349 0.500
Ir 0.651 0.000 0.500
Ir 0.000 0.651 0.500

Spin magnetization, μB/f.u.: 0.01
Symmetry: P-62m, No. 189

=====

# 8
DyP after structural relaxation. Source: OQMD, functional PBE-GGA.

a b c (Å): 3.465 3.465 3.465
angles (deg): 90.00 90.00 90.00
Fractional coordinates of all 2 atoms:
Dy 0.000 0.000 0.000
P 0.500 0.500 0.500

Spin magnetization, μB/f.u.: 0.00
Symmetry: Pm-3m, No. 221

=====

| no. | E_tot (eV per atom) |
| --- | --- |
| 1 | -11.000 |
| 2 | -4.821 |
| 3 | -2.689 |
| 4 | -1.916 |
| 5 | -6.407 |
| 6 | -7.757 |
| 7 | -6.105 |
| 8 | -6.072 |